No. 1
Material: K2Pu3ScO12
Method: DFT, PBE
State: optimized geometry

Cell: 7.5576 7.5576 7.5576 Å, 63.08 63.08 63.08°
Last column: nearest neighbours and their distance in Å.
Element x y z (fractional)
K: 0.6576 0.6576 0.6576  6 O 3.09-3.19
K: 0.3424 0.3424 0.3424  6 O 3.09-3.19
Pu: 0.5000 0.0000 0.0000  6 O 1.93-2.11
Pu: 0.0000 0.5000 0.0000  6 O 1.93-2.11
Pu: 0.0000 0.0000 0.5000  6 O 1.93-2.11
Sc: 0.0000 0.0000 0.0000  6 O 2.11
O: 0.3168 0.3168 0.9451  2 Pu 2.11
O: 0.9344 0.9344 0.3216  1 Pu 1.93, 1 Sc 2.11
O: 0.3216 0.9344 0.9344  1 Pu 1.93, 1 Sc 2.11
O: 0.9451 0.3168 0.3168  2 Pu 2.11
O: 0.9344 0.3216 0.9344  1 Pu 1.93, 1 Sc 2.11
O: 0.3168 0.9451 0.3168  2 Pu 2.11
O: 0.6832 0.6832 0.0549  2 Pu 2.11
O: 0.0656 0.0656 0.6784  1 Pu 1.93, 1 Sc 2.11
O: 0.6784 0.0656 0.0656  1 Pu 1.93, 1 Sc 2.11
O: 0.0549 0.6832 0.6832  2 Pu 2.11
O: 0.0656 0.6784 0.0656  1 Pu 1.93, 1 Sc 2.11
O: 0.6832 0.0549 0.6832  2 Pu 2.11

## Properties
M_tot (μB/f.u.): 5.0
Raw formation energy (eV per atom): -2.52
Space group: No. 166


No. 2
Material: Cd3SbH2
Method: DFT, PBE
State: optimized geometry

Cell: 9.9352 5.1471 7.2892 Å, 76.39 128.81 82.08°
Last column: nearest neighbours and their distance in Å.
Element x y z (fractional)
Cd: 0.3669 0.7828 0.9192  1 H 2.08
Cd: 0.6331 0.2172 0.0808  1 H 2.08
Cd: 0.9187 0.1621 0.7537  2 H 1.93-2.02
Cd: 0.3582 0.1719 0.4816  2 H 1.83-2.02
Cd: 0.6418 0.8281 0.5184  2 H 1.83-2.02
Cd: 0.0813 0.8379 0.2463  2 H 1.93-2.02
Sb: 0.2682 0.2813 0.9982  6 Cd 2.92-3.23
Sb: 0.7318 0.7187 0.0018  6 Cd 2.92-3.23
H: 0.3051 0.4981 0.5212  2 Cd 1.83-1.93
H: 0.2061 0.9903 0.5222  3 Cd 2.02-2.08
H: 0.7939 0.0097 0.4778  3 Cd 2.02-2.08
H: 0.6949 0.5019 0.4788  2 Cd 1.83-1.93

## Properties
M_tot (μB/f.u.): 0.0
Space group: No. 2
Total energy (eV/atom): -2.099


No. 3
Material: Na3ThU2Se6
Method: DFT, PBE
State: optimized geometry

Cell: 7.1785 7.1785 7.5500 Å, 99.12 99.12 120.00°
Last column: nearest neighbours and their distance in Å.
Element x y z (fractional)
Na: 0.1658 0.8342 0.5000  6 Se 3.03-3.05
Na: 0.8342 0.1658 0.5000  6 Se 3.03-3.05
Na: 0.5000 0.5000 0.5000  6 Se 3.02-3.05
Th: 0.0000 0.0000 0.0000  6 Se 2.96
U: 0.3332 0.6668 0.0000  6 Se 2.93
U: 0.6668 0.3332 0.0000  6 Se 2.93
Se: 0.9204 0.5839 0.7616  2 U 2.93, 1 Th 2.96, 3 Na 3.03-3.05
Se: 0.7428 0.7428 0.2385  2 U 2.93, 1 Th 2.96, 3 Na 3.02-3.04
Se: 0.0796 0.4161 0.2384  2 U 2.93, 1 Th 2.96, 3 Na 3.03-3.05
Se: 0.5839 0.9204 0.7616  2 U 2.93, 1 Th 2.96, 3 Na 3.03-3.05
Se: 0.2572 0.2572 0.7615  2 U 2.93, 1 Th 2.96, 3 Na 3.02-3.04
Se: 0.4161 0.0796 0.2384  2 U 2.93, 1 Th 2.96, 3 Na 3.03-3.05

## Properties
M_tot (μB/f.u.): 7.0
Raw formation energy (eV per atom): -1.28
Space group: No. 12


No. 4
Material: Pm7Nd2Ho3
Method: DFT, PBE
State: optimized geometry

Cell: 3.6386 5.8929 19.0776 Å, 93.72 90.00 90.00°
Last column: nearest neighbours and their distance in Å.
Element x y z (fractional)
Pm: 0.5000 0.7418 0.4639  1 Nd 3.18, 2 Pm 3.24-3.26
Pm: 0.5000 0.2582 0.5361  1 Nd 3.18, 2 Pm 3.24-3.26
Pm: 0.0000 0.6749 0.1432  2 Ho 3.39, 7 Pm 3.44-3.64, 2 Nd 3.44
Pm: 0.0000 0.0000 0.0000  4 Pm 3.44-3.64, 4 Ho 3.46
Pm: 0.0000 0.3251 0.8568  2 Ho 3.39, 7 Pm 3.44-3.64, 2 Nd 3.44
Pm: 0.5000 0.8225 0.8211  6 Pm 3.50-3.64, 2 Nd 3.69-3.71
Pm: 0.5000 0.1775 0.1789  6 Pm 3.50-3.64, 2 Nd 3.69-3.71
Nd: 0.5000 0.7044 0.2968  3 Pm 3.18-3.44
Nd: 0.5000 0.2956 0.7032  3 Pm 3.18-3.44
Ho: 0.5000 0.5000 0.0000  8 Pm 3.39-3.46, 2 Ho 3.64
Ho: 0.0000 0.2175 0.3692  2 Ho 3.64, 8 Pm 3.66-4.05, 4 Nd 3.72-3.74
Ho: 0.0000 0.7825 0.6308  2 Ho 3.64, 8 Pm 3.66-4.05, 4 Nd 3.72-3.74

## Properties
M_tot (μB/f.u.): 0.0
Space group: No. 10
E_form (eV/atom): 0.086